TiNb2Te PBE relaxed; ΔE_f (raw) = 0.90 eV per formula unit; density of states at the Fermi level = 6.71 states/eV per cell; total moment = 0.000 μB per atom; electronic total energy = -7.5679 eV per atom; space group = I-42d
1.0
-3.742 -1.107 -0.901
1.276 -1.466 -3.502
0.373 -10.236 2.130
Te Nb Ti
2 4 2
Cartesian
0.000 0.000 0.000
-2.301 -6.315 -0.486
-2.093 -3.436 -0.470
-0.647 -8.639 -0.046
0.431 -3.611 -1.767
-1.875 -9.931 -2.261
-1.233 -1.286 -2.201
0.208 -6.494 -1.786